[1]
# BaLaOs2

An optimized crystal structure of BaLaOs2 (PBEsol, the Alexandria database).

Lattice parameters (Å, degrees): 3.4430 3.4430 9.0405 90.00 90.00 90.00
Space group P4mm (No. 99)
Unique sites:
Ba: 0.0000 0.0000 0.0000 (multiplicity 1)
La: 0.5000 0.5000 0.4123 (multiplicity 1)
Os: 0.0000 0.0000 0.6346 (multiplicity 1)
Os: 0.5000 0.5000 0.7226 (multiplicity 1)

Polymorph energy (0 for the lowest one) in eV/atom: 0.000
DOS at the Fermi energy in states/eV per cell: 5.51
ΔE_f in eV/f.u.: 2.2



[2]
# LiCoS2

An optimized crystal structure of LiCoS2 (PBEsol, the Alexandria database).

Lattice parameters (Å, degrees): 3.3645 3.3645 20.3746 90.00 90.00 120.00
Space group R-3m (No. 166, hexagonal axes)
Unique sites:
Li: 0.0000 0.0000 0.0000 (multiplicity 3)
Co: 0.0000 0.0000 0.5000 (multiplicity 3)
S: 0.0000 0.0000 0.1121 (multiplicity 6)

Polymorph energy (0 for the lowest one) in eV/atom: 0.216
Raw formation energy in meV/atom: -614



[3]
# Zr3AlAg

An optimized crystal structure of Zr3AlAg (PBEsol, the Alexandria database).

Lattice parameters (Å, degrees): 4.9330 4.9330 4.9330 90.00 90.00 90.00
Space group Pm-3m (No. 221)
Unique sites:
Zr: 0.0000 0.0000 0.5000 (multiplicity 3)
Al: 0.0000 0.0000 0.0000 (multiplicity 1)
Ag: 0.5000 0.5000 0.5000 (multiplicity 1)

DOS at the Fermi energy in states/eV per cell: 8.47
ΔE_f in eV/f.u.: 3.9